[1]
## CrAs2W (PBE)

Data for a relaxed structure of CrAs2W.

Summary:
Energy of formation from the pure elements = 0.185 eV per atom
Total moment = 1.52 μB per formula unit
Fermi-level density of states = 2.11 states/eV/cell
Volume = 72.8 Å³ per cell
Density = 8.80 g/cm³

a b c (Å): 2.818 2.818 9.313
angles (deg): 90.00 90.00 100.40
Each line ends with the local moment (μB).
Element x y z (fractional)
1 As 0.000 0.000 0.933  0.00
2 As 0.500 0.500 0.331  -0.06
3 W 0.500 0.500 0.720  -0.02
4 Cr 0.000 0.000 0.516  1.53

[2]
## CrAs2W (PBE)

Data for a relaxed structure of CrAs2W.

Summary:
Energy of formation from the pure elements = 0.153 eV per atom
Total moment = 2.31 μB per formula unit
Fermi-level density of states = 1.66 states/eV/cell
Volume = 60.6 Å³ per cell
Density = 10.57 g/cm³

a b c (Å): 4.408 4.408 4.408
angles (deg): 60.00 60.00 60.00
Each line ends with the local moment (μB).
Element x y z (fractional)
1 Cr 0.000 0.000 0.000  2.50
2 W 0.500 0.500 0.500  -0.09
3 As 0.250 0.250 0.250  -0.09
4 As 0.750 0.750 0.750  -0.09

[3]
## Cr2AsW (PBE)

Data for a relaxed structure of Cr2AsW.

Summary:
Energy of formation from the pure elements = 0.342 eV per atom
Total moment = 2.39 μB per formula unit
Fermi-level density of states = 4.48 states/eV/cell
Volume = 58.1 Å³ per cell
Density = 10.38 g/cm³

a b c (Å): 7.953 7.953 7.953
angles (deg): 21.28 21.28 21.28
Each line ends with the local moment (μB).
Element x y z (fractional)
1 As 0.250 0.250 0.250  -0.04
2 W 0.750 0.750 0.750  -0.22
3 Cr 0.501 0.501 0.501  1.25
4 Cr 0.999 0.999 0.999  1.25